A relaxed MgCoSO crystal. Source: OQMD, functional GGA+U.

- Calculated volume: 14.83 Å³ per atom
- Uncorrected energy: -5.23 eV/atom
- Spin magnetization: 0.750 μB per atom

a b c (Å): 5.447 3.449 12.634
angles (deg): 90.00 90.00 90.00
Space group Pnma (No. 62)
Symmetry-distinct sites (fractional):
Mg: 0.235 0.250 0.088
Co: 0.142 0.750 0.312
S: 0.236 0.750 0.922
O: 0.222 0.250 0.671

---

A relaxed MgCoSO crystal. Source: OQMD, functional GGA+U.

- Calculated volume: 15.33 Å³ per atom
- Uncorrected energy: -5.19 eV/atom
- Spin magnetization: 0.750 μB per atom

a b c (Å): 5.789 7.979 5.310
angles (deg): 90.00 90.00 90.00
Space group Pca2_1 (No. 29)
Symmetry-distinct sites (fractional):
Mg: 0.042 0.160 0.000
Co: 0.117 0.586 0.901
S: 0.025 0.151 0.516
O: 0.063 0.603 0.531

---

A relaxed MgCoSeO crystal. Source: OQMD, functional GGA+U.

- Calculated volume: 16.11 Å³ per atom
- Uncorrected energy: -4.89 eV/atom
- Spin magnetization: 0.750 μB per atom

a b c (Å): 5.860 3.509 12.531
angles (deg): 90.00 90.00 90.00
Space group Pnma (No. 62)
Symmetry-distinct sites (fractional):
Mg: 0.099 0.250 0.199
Co: 0.222 0.750 0.419
Se: 0.217 0.250 0.576
O: 0.224 0.750 0.830

---

Values of E above lowest polymorph, in order: 0.0056, 0.0438, 0.1454, all in eV/atom.